Density functional theory data (GGA-PBE) for a relaxed structure of Co3Au5.

Cell: 7.553 7.553 5.197 Å, 90.00 90.00 60.00°
Site moments in Bohr magnetons follow the coordinates.
Fractional positions:
Au: 0.772 0.228 0.250  0.02
Au: 0.228 0.772 0.750  0.02
Au: 0.228 0.000 0.250  0.02
Au: 0.000 0.228 0.750  0.02
Au: 0.667 0.667 0.000  0.04
Au: 0.667 0.667 0.500  0.04
Au: 0.333 0.333 0.000  0.04
Au: 0.333 0.333 0.500  0.04
Au: 0.772 0.000 0.750  0.02
Au: 0.000 0.772 0.250  0.02
Co: 0.587 0.413 0.750  1.77
Co: 0.413 0.587 0.250  1.77
Co: 0.413 0.000 0.750  1.77
Co: 0.000 0.413 0.250  1.77
Co: 0.587 0.000 0.250  1.77
Co: 0.000 0.588 0.750  1.77

- M_tot: 0.6686 μB per atom
- Energy relative to the elements: 353 meV per atom
- Distance to the lowest polymorph of the same formula: 98 meV/atom

---

Density functional theory data (GGA-PBE) for a relaxed structure of CoAu.

Cell: 7.684 7.684 4.138 Å, 90.00 90.00 90.00°
Site moments in Bohr magnetons follow the coordinates.
Fractional positions:
Co: 0.152 0.152 0.000  1.84
Co: 0.152 0.848 0.000  1.84
Co: 0.848 0.152 0.000  1.84
Co: 0.848 0.848 0.000  1.84
Co: 0.652 0.652 0.500  1.84
Co: 0.652 0.348 0.500  1.84
Co: 0.348 0.652 0.500  1.84
Co: 0.348 0.348 0.500  1.84
Au: 0.799 0.500 0.000  0.03
Au: 0.201 0.500 0.000  0.03
Au: 0.500 0.201 0.000  0.03
Au: 0.500 0.799 0.000  0.03
Au: 0.299 0.000 0.500  0.03
Au: 0.701 0.000 0.500  0.03
Au: 0.000 0.701 0.500  0.03
Au: 0.000 0.299 0.500  0.03

- M_tot: 0.9238 μB per atom
- Energy relative to the elements: 274 meV per atom

---

Density functional theory data (GGA-PBE) for a relaxed structure of CoAu3.

Cell: 2.839 4.697 4.977 Å, 90.00 90.00 90.00°
Site moments in Bohr magnetons follow the coordinates.
Fractional positions:
Au: 0.000 0.000 0.011  0.00
Au: 0.500 0.000 0.496  0.01
Au: 0.500 0.500 0.828  0.01
Co: 0.000 0.500 0.332  1.87

- M_tot: 0.4553 μB per atom
- Energy relative to the elements: 223 meV per atom

---

Density functional theory data (GGA-PBE) for a relaxed structure of Co2Au.

Cell: 7.331 7.331 2.656 Å, 90.00 90.00 120.00°
Site moments in Bohr magnetons follow the coordinates.
Fractional positions:
Co: 0.000 0.308 0.000  1.83
Co: 0.000 0.644 0.500  1.83
Co: 0.308 0.000 0.000  1.83
Co: 0.692 0.692 0.000  1.83
Co: 0.644 0.000 0.500  1.83
Co: 0.356 0.356 0.500  1.83
Au: 0.000 0.000 0.500  0.08
Au: 0.333 0.667 0.000  0.08
Au: 0.667 0.333 0.000  0.08

- M_tot: 1.2157 μB per atom
- Energy relative to the elements: 332 meV per atom

---

Density functional theory data (GGA-PBE) for a relaxed structure of CoAu.

Cell: 4.328 4.328 5.086 Å, 90.00 90.00 120.00°
Site moments in Bohr magnetons follow the coordinates.
Fractional positions:
Co: 0.333 0.667 0.250  1.99
Co: 0.667 0.333 0.750  1.99
Au: 0.333 0.667 0.750  0.14
Au: 0.667 0.333 0.250  0.14

- M_tot: 1.0492 μB per atom
- Energy relative to the elements: 935 meV per atom

---

Density functional theory data (GGA-PBE) for a relaxed structure of Co5Au.

Cell: 4.919 4.919 6.088 Å, 74.77 74.77 31.22°
Site moments in Bohr magnetons follow the coordinates.
Fractional positions:
Co: 0.624 0.624 0.283  1.76
Co: 0.325 0.325 0.361  1.72
Co: 0.948 0.948 0.597  1.77
Co: 0.669 0.669 0.659  1.71
Co: 0.275 0.275 0.923  1.77
Au: 0.993 0.993 0.011  0.09

- M_tot: 1.4463 μB per atom
- Energy relative to the elements: 151 meV per atom
- Distance to the lowest polymorph of the same formula: 31 meV/atom

---

Density functional theory data (GGA-PBE) for a relaxed structure of Co4Au.

Cell: 4.498 4.498 4.498 Å, 99.61 99.61 131.78°
Site moments in Bohr magnetons follow the coordinates.
Fractional positions:
Co: 0.810 0.588 0.398  1.71
Co: 0.190 0.412 0.602  1.71
Co: 0.588 0.190 0.777  1.71
Co: 0.412 0.810 0.223  1.71
Au: 0.000 0.000 0.000  0.08

- M_tot: 1.3590 μB per atom
- Energy relative to the elements: 139 meV per atom
- Distance to the lowest polymorph of the same formula: 0 meV/atom

---

Density functional theory data (GGA-PBE) for a relaxed structure of CoAu4.

Cell: 4.750 4.750 4.750 Å, 90.00 90.00 90.00°
Site moments in Bohr magnetons follow the coordinates.
Fractional positions:
Au: 0.000 0.000 0.000  0.01
Au: 0.500 0.000 0.500  0.08
Au: 0.000 0.500 0.500  0.08
Au: 0.500 0.500 0.000  0.08
Co: 0.500 0.500 0.500  1.82

- M_tot: 0.4157 μB per atom
- Energy relative to the elements: 858 meV per atom
- Distance to the lowest polymorph of the same formula: 691 meV/atom

---

Density functional theory data (GGA-PBE) for a relaxed structure of CoAu.

Cell: 2.806 2.806 7.445 Å, 90.00 90.00 90.00°
Site moments in Bohr magnetons follow the coordinates.
Fractional positions:
Au: 0.000 0.000 0.027  0.01
Au: 0.500 0.500 0.723  0.01
Co: 0.000 0.000 0.465  1.78
Co: 0.500 0.500 0.285  1.78

- M_tot: 0.8829 μB per atom
- Energy relative to the elements: 130 meV per atom

---

Density functional theory data (GGA-PBE) for a relaxed structure of CoAu.

Cell: 4.397 4.397 4.397 Å, 60.00 60.00 60.00°
Site moments in Bohr magnetons follow the coordinates.
Fractional positions:
Au: 0.000 0.000 0.000  0.03
Au: 0.750 0.750 0.750  0.03
Co: 0.250 0.250 0.250  1.90
Co: 0.500 0.500 0.500  1.90

- M_tot: 0.9476 μB per atom
- Energy relative to the elements: 358 meV per atom

---

Density functional theory data (GGA-PBE) for a relaxed structure of Co2Au.

Cell: 4.836 4.836 4.836 Å, 147.00 138.74 53.82°
Site moments in Bohr magnetons follow the coordinates.
Fractional positions:
Co: 0.688 0.688 0.000  1.74
Co: 0.312 0.312 0.000  1.74
Au: 0.000 0.000 0.000  0.02

- M_tot: 1.1411 μB per atom
- Energy relative to the elements: 186 meV per atom

---

Density functional theory data (GGA-PBE) for a relaxed structure of Co2Au.

Cell: 4.884 4.884 4.884 Å, 107.23 107.23 114.05°
Site moments in Bohr magnetons follow the coordinates.
Fractional positions:
Co: 0.631 0.131 0.762  1.83
Co: 0.131 0.369 0.500  1.83
Co: 0.869 0.631 0.500  1.83
Co: 0.369 0.869 0.238  1.83
Au: 0.750 0.750 0.000  0.05
Au: 0.250 0.250 0.000  0.05

- M_tot: 1.2125 μB per atom
- Energy relative to the elements: 555 meV per atom